Entry from Alexandria via LeMat-Bulk: a relaxed structure of RbPaHgBr6 (PBE).

Cell: 8.6027 8.6027 13.9342 Å, 90.00 90.00 120.00°
Closest atoms and distances in Å follow each position.
Fractional positions:
Rb: 0.3333 0.6667 0.2500  6 Br 3.57
Rb: 0.6667 0.3333 0.7500  6 Br 3.57
Pa: 0.3333 0.6667 0.7500  6 Br 2.73
Pa: 0.6667 0.3333 0.2500  6 Br 2.73
Hg: 0.0000 0.0000 0.0000  6 Br 3.79
Hg: 0.0000 0.0000 0.5000  6 Br 3.79
Br: 0.0714 0.4116 0.6367  1 Pa 2.73
Br: 0.0714 0.6598 0.8633  1 Pa 2.73
Br: 0.3402 0.4116 0.8633  1 Pa 2.73
Br: 0.3402 0.9286 0.6367  1 Pa 2.73
Br: 0.4116 0.0714 0.1367  1 Pa 2.73
Br: 0.4116 0.3402 0.3633  1 Pa 2.73
Br: 0.5884 0.6598 0.6367  1 Pa 2.73
Br: 0.5884 0.9286 0.8633  1 Pa 2.73
Br: 0.6598 0.0714 0.3633  1 Pa 2.73
Br: 0.6598 0.5884 0.1367  1 Pa 2.73
Br: 0.9286 0.3402 0.1367  1 Pa 2.73
Br: 0.9286 0.5884 0.3633  1 Pa 2.73

Computed properties:
uncorrected formation energy = -1.37 eV per atom

Entry from Alexandria via LeMat-Bulk: a relaxed structure of Tb4Ho3Ag4 (PBE).

Cell: 9.1454 9.1454 9.1454 Å, 150.74 125.18 63.35°
Closest atoms and distances in Å follow each position.
Fractional positions:
Tb: 0.0296 0.8313 0.1983  4 Ag 2.86-3.00
Tb: 0.3670 0.1687 0.1983  4 Ag 2.86-3.00
Tb: 0.6330 0.8313 0.8017  4 Ag 2.86-3.00
Tb: 0.9704 0.1687 0.8017  4 Ag 2.86-3.00
Ho: 0.0000 0.5000 0.5000  6 Ag 3.56-3.63, 8 Tb 3.88
Ho: 0.3886 0.3886 0.0000  6 Ag 3.21-3.40, 1 Ho 3.47, 4 Tb 3.55
Ho: 0.6114 0.6114 0.0000  6 Ag 3.21-3.40, 1 Ho 3.47, 4 Tb 3.55
Ag: 0.2286 0.7286 0.5000  6 Tb 3.00
Ag: 0.3326 0.0000 0.3326  1 Ag 2.82, 2 Tb 2.86
Ag: 0.6674 0.0000 0.6674  1 Ag 2.82, 2 Tb 2.86
Ag: 0.7714 0.2714 0.5000  6 Tb 3.00

Computed properties:
ΔH_f (0 K) = -0.0704 eV per atom

Entry from Alexandria via LeMat-Bulk: a relaxed structure of Nd2PdRh (PBE).

Cell: 3.5812 3.5812 7.1898 Å, 90.00 90.00 90.00°
Closest atoms and distances in Å follow each position.
Fractional positions:
Nd: 0.0000 0.0000 0.2406  4 Rh 3.07, 4 Pd 3.14
Nd: 0.0000 0.0000 0.7594  4 Rh 3.07, 4 Pd 3.14
Pd: 0.5000 0.5000 0.5000  8 Nd 3.14
Rh: 0.5000 0.5000 0.0000  8 Nd 3.07

Computed properties:
ΔH_f (0 K) = -0.7107 eV per atom

Entry from Alexandria via LeMat-Bulk: a relaxed structure of Zn4AgSb (PBE).

Cell: 5.3293 5.3293 5.3293 Å, 60.00 60.00 60.00°
Closest atoms and distances in Å follow each position.
Fractional positions:
Zn: 0.1243 0.1243 0.1243  6 Zn 2.65-2.68
Zn: 0.1243 0.1243 0.6271  6 Zn 2.65-2.68
Zn: 0.1243 0.6271 0.1243  6 Zn 2.65-2.68
Zn: 0.6271 0.1243 0.1243  6 Zn 2.65-2.68
Ag: 0.7500 0.7500 0.7500  12 Zn 3.12, 4 Sb 3.26
Sb: 0.5000 0.5000 0.5000  12 Zn 3.13, 4 Ag 3.26

Computed properties:
uncorrected formation energy = 0.12 eV per atom

Entry from Alexandria via LeMat-Bulk: a relaxed structure of RbInCl3 (PBE).

Cell: 4.4500 8.1442 8.1442 Å, 64.44 90.00 90.00°
Closest atoms and distances in Å follow each position.
Fractional positions:
Rb: 0.0000 0.0000 0.0000  4 Cl 3.13-3.23
In: 0.5000 0.3452 0.3452  5 Cl 2.56-2.79
Cl: 0.0000 0.1820 0.5607  2 In 2.79
Cl: 0.0000 0.5607 0.1820  2 In 2.79
Cl: 0.5000 0.1597 0.1597  1 In 2.56

Computed properties:
uncorrected formation energy = -1.23 eV per atom

Entry from Alexandria via LeMat-Bulk: a relaxed structure of TaPt2PbO8 (PBE).

Cell: 5.0988 5.0988 7.9244 Å, 90.00 90.00 120.00°
Closest atoms and distances in Å follow each position.
Fractional positions:
Ta: 0.0000 0.0000 0.0000  6 O 1.98
Pt: 0.3333 0.6667 0.2881  4 O 1.86-1.96
Pt: 0.6667 0.3333 0.7119  4 O 1.86-1.96
Pb: 0.0000 0.0000 0.5000  12 O 2.95-3.23
O: 0.0391 0.3332 0.1467  1 Pt 1.96, 1 Ta 1.98
O: 0.2941 0.9609 0.1467  1 Pt 1.96, 1 Ta 1.98
O: 0.3332 0.2941 0.8533  1 Pt 1.96, 1 Ta 1.98
O: 0.3333 0.6667 0.5223  1 Pt 1.86
O: 0.6667 0.3333 0.4777  1 Pt 1.86
O: 0.6668 0.7059 0.1467  1 Pt 1.96, 1 Ta 1.98
O: 0.7059 0.0391 0.8533  1 Pt 1.96, 1 Ta 1.98
O: 0.9609 0.6668 0.8533  1 Pt 1.96, 1 Ta 1.98

Computed properties:
uncorrected formation energy = -0.65 eV per atom

Entry from Alexandria via LeMat-Bulk: a relaxed structure of ScCoOs2 (PBE).

Cell: 4.6546 4.6546 4.6546 Å, 129.86 129.86 73.64°
Closest atoms and distances in Å follow each position.
Fractional positions:
Sc: 0.0000 0.0000 0.0000  4 Co 2.71, 8 Os 2.71-2.79
Co: 0.2500 0.7500 0.5000  8 Os 2.71-2.79, 4 Sc 2.71
Os: 0.5000 0.5000 0.0000  4 Co 2.71, 4 Os 2.71, 4 Sc 2.79
Os: 0.7500 0.2500 0.5000  4 Os 2.71, 4 Sc 2.71, 4 Co 2.79

Computed properties:
energy above the lowest structure with this stoichiometry = 0.0893 eV per atom
ΔH_f (0 K) = 0.0441 eV per atom

Entry from Alexandria via LeMat-Bulk: a relaxed structure of BaZn2Hg (PBE).

Cell: 4.6071 4.6071 6.5474 Å, 110.34 110.34 59.97°
Closest atoms and distances in Å follow each position.
Fractional positions:
Ba: 0.0000 0.0000 0.0000  4 Hg 3.54-3.65, 7 Zn 3.56-3.70
Zn: 0.2008 0.2008 0.6034  3 Zn 2.66-2.67, 3 Hg 2.94-2.95
Zn: 0.5245 0.5245 0.5748  3 Zn 2.66-2.67, 3 Hg 2.87-2.88
Hg: 0.7972 0.7972 0.3919  6 Zn 2.87-2.95

Computed properties:
ΔH_f (0 K) = -0.2201 eV per atom

Entry from Alexandria via LeMat-Bulk: a relaxed structure of PrDy2TmS4 (PBE).

Cell: 6.8022 3.8912 6.9215 Å, 90.00 108.81 90.00°
Closest atoms and distances in Å follow each position.
Fractional positions:
Pr: 0.0000 0.0000 0.0000  6 S 2.86
Dy: 0.5000 0.0000 0.5000  6 S 2.72
Dy: 0.5000 0.5000 0.0000  6 S 2.82
Tm: 0.0000 0.5000 0.5000  6 S 2.76
S: 0.2509 0.0000 0.7393  3 Dy 2.72-2.82, 2 Tm 2.76, 1 Pr 2.86
S: 0.2598 0.5000 0.2646  3 Dy 2.72-2.82, 1 Tm 2.76, 2 Pr 2.86
S: 0.7402 0.5000 0.7354  3 Dy 2.72-2.82, 1 Tm 2.76, 2 Pr 2.86
S: 0.7491 0.0000 0.2607  3 Dy 2.72-2.82, 2 Tm 2.76, 1 Pr 2.86

Computed properties:
uncorrected formation energy = -1.97 eV per atom

Entry from Alexandria via LeMat-Bulk: a relaxed structure of Ag3P2 (PBE).

Cell: 10.5965 10.5965 10.5965 Å, 16.67 16.67 16.67°
Closest atoms and distances in Å follow each position.
Fractional positions:
Ag: 0.0000 0.0000 0.0000  6 P 2.71
Ag: 0.2036 0.2036 0.2036  3 P 2.68, 3 Ag 2.92
Ag: 0.7964 0.7964 0.7964  3 P 2.68, 3 Ag 2.92
P: 0.3988 0.3988 0.3988  6 Ag 2.68-2.71
P: 0.6012 0.6012 0.6012  6 Ag 2.68-2.71

Computed properties:
energy above the lowest structure with this stoichiometry = 0.1795 eV per atom
ΔH_f (0 K) = 0.3558 eV per atom

Entry from Alexandria via LeMat-Bulk: a relaxed structure of RbNaWBr6 (PBE).

Cell: 7.3709 7.3709 14.6697 Å, 90.00 90.00 120.00°
Closest atoms and distances in Å follow each position.
Fractional positions:
Rb: 0.0000 0.0000 0.0000  6 Br 3.50
Rb: 0.0000 0.0000 0.5000  6 Br 3.50
Na: 0.3333 0.6667 0.2500  6 Br 2.99
Na: 0.6667 0.3333 0.7500  6 Br 2.99
W: 0.3333 0.6667 0.7500  6 Br 2.56
W: 0.6667 0.3333 0.2500  6 Br 2.56
Br: 0.0441 0.3912 0.6486  1 W 2.56
Br: 0.0441 0.6529 0.8514  1 W 2.56
Br: 0.3471 0.3912 0.8514  1 W 2.56
Br: 0.3471 0.9559 0.6486  1 W 2.56
Br: 0.3912 0.0441 0.1486  1 W 2.56
Br: 0.3912 0.3471 0.3514  1 W 2.56
Br: 0.6088 0.6529 0.6486  1 W 2.56
Br: 0.6088 0.9559 0.8514  1 W 2.56
Br: 0.6529 0.0441 0.3514  1 W 2.56
Br: 0.6529 0.6088 0.1486  1 W 2.56
Br: 0.9559 0.3471 0.1486  1 W 2.56
Br: 0.9559 0.6088 0.3514  1 W 2.56

Computed properties:
uncorrected formation energy = -0.95 eV per atom

Entry from Alexandria via LeMat-Bulk: a relaxed structure of BeAl2Rh2 (PBE).

Cell: 6.8091 6.8091 3.0225 Å, 90.00 90.00 90.00°
Closest atoms and distances in Å follow each position.
Fractional positions:
Be: 0.0000 0.0000 0.0000  4 Rh 2.56
Be: 0.5000 0.5000 0.0000  4 Rh 2.56
Al: 0.1431 0.3569 0.5000  6 Rh 2.44-2.55
Al: 0.3569 0.8569 0.5000  6 Rh 2.44-2.55
Al: 0.6431 0.1431 0.5000  6 Rh 2.44-2.55
Al: 0.8569 0.6431 0.5000  6 Rh 2.44-2.55
Rh: 0.1581 0.6581 0.0000  6 Al 2.44-2.55, 2 Be 2.56
Rh: 0.3419 0.1581 0.0000  6 Al 2.44-2.55, 2 Be 2.56
Rh: 0.6581 0.8419 0.0000  6 Al 2.44-2.55, 2 Be 2.56
Rh: 0.8419 0.3419 0.0000  6 Al 2.44-2.55, 2 Be 2.56

Computed properties:
energy above the lowest structure with this stoichiometry = 0.0000 eV per atom
ΔH_f (0 K) = -0.5960 eV per atom

Entry from Alexandria via LeMat-Bulk: a relaxed structure of SbSCl (PBE).

Cell: 4.9049 6.2941 7.5562 Å, 108.80 97.04 106.41°
Closest atoms and distances in Å follow each position.
Fractional positions:
Sb: 0.0000 0.0000 0.0000  1 S 2.48, 1 Cl 2.50
Sb: 0.4910 0.5741 0.7378  1 Cl 2.44, 1 S 2.54
S: 0.2505 0.0050 0.7344  1 S 2.09
S: 0.6317 0.2976 0.8831  1 S 2.09
Cl: 0.2676 0.7681 0.1161  1 Sb 2.50
Cl: 0.7063 0.4910 0.4594  1 Sb 2.44

Computed properties:
uncorrected formation energy = -0.38 eV per atom

Entry from Alexandria via LeMat-Bulk: a relaxed structure of TaIn2Tc (PBE).

Cell: 4.1048 4.1048 4.4166 Å, 90.00 90.00 90.00°
Closest atoms and distances in Å follow each position.
Fractional positions:
Ta: 0.0000 0.0000 0.0000  4 Tc 2.90, 8 In 3.01
In: 0.0000 0.5000 0.5000  4 In 2.90, 4 Ta 3.01, 4 Tc 3.01
In: 0.5000 0.0000 0.5000  4 In 2.90, 4 Ta 3.01, 4 Tc 3.01
Tc: 0.5000 0.5000 0.0000  4 Ta 2.90, 8 In 3.01

Computed properties:
energy above the lowest structure with this stoichiometry = 0.2572 eV per atom
ΔH_f (0 K) = 0.3353 eV per atom

Entry from Alexandria via LeMat-Bulk: a relaxed structure of PmEuCdBi (PBE).

Cell: 5.5629 5.5629 5.5629 Å, 60.00 60.00 60.00°
Closest atoms and distances in Å follow each position.
Fractional positions:
Pm: 0.0000 0.0000 0.0000  4 Cd 3.41, 4 Bi 3.41
Eu: 0.5000 0.5000 0.5000  4 Bi 3.41, 4 Cd 3.41
Cd: 0.7500 0.7500 0.7500  4 Eu 3.41, 4 Pm 3.41
Bi: 0.2500 0.2500 0.2500  4 Eu 3.41, 4 Pm 3.41

Computed properties:
ΔH_f (0 K) = -0.5047 eV per atom

Entry from Alexandria via LeMat-Bulk: a relaxed structure of La2SmRu (PBE).

Cell: 7.4031 9.9770 6.4715 Å, 90.00 90.00 90.00°
Closest atoms and distances in Å follow each position.
Fractional positions:
La: 0.1736 0.0690 0.1713  2 Ru 2.86-2.95
La: 0.1736 0.4310 0.1713  2 Ru 2.86-2.95
La: 0.3264 0.5690 0.6713  2 Ru 2.86-2.95
La: 0.3264 0.9310 0.6713  2 Ru 2.86-2.95
La: 0.6736 0.0690 0.3287  2 Ru 2.86-2.95
La: 0.6736 0.4310 0.3287  2 Ru 2.86-2.95
La: 0.8264 0.5690 0.8287  2 Ru 2.86-2.95
La: 0.8264 0.9310 0.8287  2 Ru 2.86-2.95
Sm: 0.0448 0.2500 0.6513  2 Ru 2.91
Sm: 0.4552 0.7500 0.1513  2 Ru 2.91
Sm: 0.5448 0.2500 0.8487  2 Ru 2.91
Sm: 0.9552 0.7500 0.3487  2 Ru 2.91
Ru: 0.1109 0.7500 0.9355  4 La 2.86-2.95, 2 Sm 2.91
Ru: 0.3891 0.2500 0.4355  4 La 2.86-2.95, 2 Sm 2.91
Ru: 0.6109 0.7500 0.5645  4 La 2.86-2.95, 2 Sm 2.91
Ru: 0.8891 0.2500 0.0645  4 La 2.86-2.95, 2 Sm 2.91

Computed properties:
energy above the lowest structure with this stoichiometry = 0.0000 eV per atom
ΔH_f (0 K) = -0.2289 eV per atom

Entry from Alexandria via LeMat-Bulk: a relaxed structure of Li2EuTm (PBE).

Cell: 5.4077 5.4077 5.4077 Å, 60.00 60.00 60.00°
Closest atoms and distances in Å follow each position.
Fractional positions:
Li: 0.2500 0.2500 0.2500  4 Tm 3.31, 4 Eu 3.31
Li: 0.7500 0.7500 0.7500  4 Tm 3.31, 4 Eu 3.31
Eu: 0.0000 0.0000 0.0000  8 Li 3.31
Tm: 0.5000 0.5000 0.5000  8 Li 3.31

Computed properties:
energy above the lowest structure with this stoichiometry = 0.0269 eV per atom
ΔH_f (0 K) = 0.1651 eV per atom

Entry from Alexandria via LeMat-Bulk: a relaxed structure of Cs2VGeBr6 (PBE).

Cell: 7.7651 7.7651 7.7651 Å, 60.00 60.00 60.00°
Closest atoms and distances in Å follow each position.
Fractional positions:
Cs: 0.2500 0.2500 0.2500  12 Br 3.88
Cs: 0.7500 0.7500 0.7500  12 Br 3.88
V: 0.0000 0.0000 0.0000  6 Br 2.67
Ge: 0.5000 0.5000 0.5000  6 Br 2.82
Br: 0.2433 0.2433 0.7567  1 V 2.67, 1 Ge 2.82
Br: 0.2433 0.7567 0.2433  1 V 2.67, 1 Ge 2.82
Br: 0.2433 0.7567 0.7567  1 V 2.67, 1 Ge 2.82
Br: 0.7567 0.2433 0.2433  1 V 2.67, 1 Ge 2.82
Br: 0.7567 0.2433 0.7567  1 V 2.67, 1 Ge 2.82
Br: 0.7567 0.7567 0.2433  1 V 2.67, 1 Ge 2.82

Computed properties:
uncorrected formation energy = -1.12 eV per atom

Entry from Alexandria via LeMat-Bulk: a relaxed structure of BaMnRe2 (PBE).

Cell: 3.8681 3.8681 5.3160 Å, 90.00 90.00 90.00°
Closest atoms and distances in Å follow each position.
Fractional positions:
Ba: 0.0000 0.0000 0.0000  4 Mn 2.74
Mn: 0.5000 0.5000 0.0000  4 Ba 2.74
Re: 0.0000 0.5000 0.5000  4 Re 2.74
Re: 0.5000 0.0000 0.5000  4 Re 2.74

Computed properties:
energy above the lowest structure with this stoichiometry = 1.0105 eV per atom
ΔH_f (0 K) = 1.5444 eV per atom

Entry from Alexandria via LeMat-Bulk: a relaxed structure of NdSm2Tm7 (PBE).

Cell: 6.1025 7.0607 7.9129 Å, 76.94 75.13 73.58°
Closest atoms and distances in Å follow each position.
Fractional positions:
Nd: 0.0000 0.0000 0.0000  10 Tm 3.52-3.54, 2 Sm 3.56
Sm: 0.2021 0.7974 0.5994  10 Tm 3.51-3.55, 1 Nd 3.56, 1 Sm 3.57
Sm: 0.7979 0.2026 0.4006  10 Tm 3.51-3.55, 1 Nd 3.56, 1 Sm 3.57
Tm: 0.0000 0.5000 0.0000  8 Tm 3.52-3.54, 2 Sm 3.53, 2 Nd 3.53
Tm: 0.1990 0.3011 0.6004  4 Sm 3.51-3.55, 7 Tm 3.52-3.55, 1 Nd 3.53
Tm: 0.3999 0.1009 0.1995  7 Tm 3.52-3.55, 2 Nd 3.52-3.53, 3 Sm 3.53-3.55
Tm: 0.4012 0.5986 0.1991  9 Tm 3.52-3.55, 2 Sm 3.52-3.54, 1 Nd 3.54
Tm: 0.5988 0.4014 0.8009  9 Tm 3.52-3.55, 2 Sm 3.52-3.54, 1 Nd 3.54
Tm: 0.6001 0.8991 0.8005  7 Tm 3.52-3.55, 2 Nd 3.52-3.53, 3 Sm 3.53-3.55
Tm: 0.8010 0.6989 0.3996  4 Sm 3.51-3.55, 7 Tm 3.52-3.55, 1 Nd 3.53

Computed properties:
energy above the lowest structure with this stoichiometry = 0.0000 eV per atom
ΔH_f (0 K) = 0.0240 eV per atom

In order of appearance, electronic total energy = -3.679, -4.039, -6.231, -1.889, -3.077, -6.256, -8.930, -1.413, -6.341, -3.519, -3.762, -5.779, -3.742, -6.589, -5.460, -6.191, -4.478, -3.667, -7.453, -4.527 eV/atom.